VASP calculation (PBE) on an optimized crystal structure of HoFeRu.

Total magnetic moment: 0.0028 μB per atom
D(E_F): 1.05 states/eV per atom
Energy relative to the elements: -0.047 eV/atom
Total DFT energy (no corrections): -22.458 eV/cell

Cell lengths 3.943, 3.943, 4.197 Å; angles 90.00, 90.00, 120.00 degrees
Positions (direct):
Ho (0.000, 0.000, 0.000)
Fe (0.333, 0.667, 0.500)
Ru (0.667, 0.333, 0.500)